Below is crystalline As2OsRh at its relaxed geometry, with properties calculated at the PBE-GGA level.

The structure in CIF format:
```
data_As2OsRh
_chemical_formula_sum 'As2 Os1 Rh1'
_symmetry_space_group_name_H-M 'P 1 2/m 1'
_symmetry_Int_Tables_number 10
_cell_length_a 3.068
_cell_length_b 4.175
_cell_length_c 5.024
_cell_angle_alpha 90.00
_cell_angle_beta 91.11
_cell_angle_gamma 90.00
loop_
_symmetry_equiv_pos_as_xyz
'x,y,z'
'-x,-y,-z'
'-x,y,-z'
'x,-y,z'
loop_
_atom_site_label
_atom_site_type_symbol
_atom_site_fract_x
_atom_site_fract_y
_atom_site_fract_z
_atom_site_occupancy
As1 As 0.129 0.000 0.267 1
Os1 Os 0.000 0.500 0.000 1
Rh1 Rh 0.500 0.500 0.500 1
```

Results
energy above the most stable polymorph in this dataset = 0.449 eV per atom
formation enthalpy at 0 K = 0.401 eV/atom
VASP energy = -6.5687 eV per atom